A geometry-optimized HfPdC3 structure. Source: Alexandria via LeMat-Bulk, functional GGA-PBEsol.

Results
The formation energy from the elements comes out at 1.95 eV per atom. Its total magnetization is 0.00 μB/f.u. For the calculated density, the calculation gives 8.9 g/cm3. As for the crystal system: cubic. The total energy is -7.133 eV/atom.

a b c (Å): 3.915 3.915 3.915
angles (deg): 90.00 90.00 90.00
Sites, in units of the cell vectors:
C1 0.000 0.500 0.000
C2 0.000 0.000 0.500
Pd1 0.000 0.000 0.000
C3 0.500 0.000 0.000
Hf1 0.500 0.500 0.500

***

A geometry-optimized KCd2As structure. Source: Alexandria via LeMat-Bulk, functional GGA-PBEsol.

Results
The formation energy from the elements comes out at 0.12 eV per atom. Its total magnetization is 0.00 μB/f.u. For the calculated density, the calculation gives 5.8 g/cm3. As for the crystal system: orthorhombic. The total energy is -2.036 eV/atom.

a b c (Å): 3.545 5.189 5.231
angles (deg): 90.00 90.00 90.00
Sites, in units of the cell vectors:
Cd1 0.500 0.500 0.000
Cd2 0.000 0.000 0.000
K1 0.500 0.000 0.500
As1 0.000 0.500 0.500

***

A geometry-optimized RbSrLiRu2 structure. Source: Alexandria via LeMat-Bulk, functional GGA-PBEsol.

Results
The formation energy from the elements comes out at 1.33 eV per atom. Its total magnetization is 2.11 μB/f.u. For the calculated density, the calculation gives 5.8 g/cm3. As for the crystal system: tetragonal. The total energy is -3.706 eV/atom.

a b c (Å): 4.548 4.548 5.271
angles (deg): 90.00 90.00 90.00
Last column: magnetic moment on the atom in μB.
Sites, in units of the cell vectors:
Ru1 0.000 0.500 0.000  1.07
Sr1 0.000 0.000 0.500  -0.05
Ru2 0.500 0.000 0.000  1.07
Rb1 0.500 0.500 0.500  -0.01
Li1 0.000 0.000 0.000  -0.01

***

A geometry-optimized NaMnP3O9 structure. Source: Alexandria via LeMat-Bulk, functional GGA-PBEsol.

Results
Its total magnetization is 5.00 μB/f.u. For the calculated density, the calculation gives 3.1 g/cm3. As for the crystal system: orthorhombic. As for the formation energy from raw total energies: -2.092 eV per atom. The total energy is -7.505 eV/atom.

a b c (Å): 8.731 8.719 8.930
angles (deg): 90.00 90.00 90.00
Last column: magnetic moment on the atom in μB.
Sites, in units of the cell vectors:
O1 0.641 0.031 0.257  0.00
O2 0.852 0.353 0.097  0.02
O3 0.141 0.469 0.743  0.00
Mn1 0.124 0.855 0.161  4.51
P1 0.807 0.976 0.313  0.01
O4 0.139 0.196 0.642  0.03
O5 0.861 0.696 0.858  0.03
O6 0.119 0.385 0.310  0.02
O7 0.800 0.588 0.357  0.03
Na1 0.845 0.630 0.107  0.00
O8 0.239 0.363 0.051  0.01
O9 0.084 0.876 0.919  0.03
P2 0.537 0.175 0.310  0.01
O10 0.739 0.137 0.949  0.01
O11 0.916 0.376 0.581  0.03
O12 0.394 0.391 0.624  0.02
P3 0.693 0.691 0.442  0.02
O13 0.639 0.304 0.358  0.03
P4 0.463 0.675 0.190  0.01
Mn2 0.624 0.645 0.839  4.51
O14 0.106 0.609 0.124  0.02
O15 0.859 0.969 0.757  0.00
O16 0.416 0.124 0.419  0.03
P5 0.307 0.524 0.687  0.01
O17 0.261 0.637 0.551  0.01
P6 0.037 0.325 0.690  0.01
Na2 0.345 0.870 0.893  0.00
O18 0.200 0.088 0.143  0.03
O19 0.619 0.115 0.690  0.02
O20 0.038 0.781 0.652  0.01
Na3 0.155 0.130 0.393  0.00
O21 0.352 0.147 0.903  0.02
P7 0.693 0.024 0.813  0.01
P8 0.307 0.191 0.058  0.02
O22 0.700 0.412 0.857  0.03
Mn3 0.876 0.355 0.339  4.51
O23 0.148 0.853 0.403  0.02
O24 0.300 0.912 0.643  0.03
P9 0.193 0.809 0.558  0.02
P10 0.807 0.309 0.942  0.02
P11 0.963 0.825 0.810  0.01
P12 0.193 0.476 0.187  0.01
Mn4 0.376 0.145 0.661  4.51
O25 0.881 0.885 0.190  0.02
O26 0.361 0.804 0.142  0.03
O27 0.962 0.281 0.848  0.01
O28 0.761 0.863 0.449  0.01
O29 0.894 0.109 0.376  0.02
O30 0.648 0.647 0.597  0.02
O31 0.381 0.615 0.810  0.02
O32 0.606 0.891 0.876  0.02
O33 0.359 0.531 0.243  0.00
O34 0.462 0.219 0.152  0.01
O35 0.584 0.624 0.081  0.03
O36 0.538 0.719 0.348  0.01
Na4 0.655 0.370 0.607  0.00

***

A geometry-optimized Na3ZnSb structure. Source: Alexandria via LeMat-Bulk, functional GGA-PBEsol.

Results
Its total magnetization is 0.00 μB/f.u. For the calculated density, the calculation gives 2.1 g/cm3. As for the crystal system: cubic. As for the formation energy from raw total energies: 0.039 eV per atom. The total energy is -2.028 eV/atom.

a b c (Å): 5.853 5.853 5.853
angles (deg): 90.00 90.00 90.00
Sites, in units of the cell vectors:
Na1 0.000 0.500 0.000
Na2 0.500 0.000 0.000
Sb1 0.000 0.000 0.000
Na3 0.000 0.000 0.500
Zn1 0.500 0.500 0.500

***

A geometry-optimized TaTeI2O structure. Source: Alexandria via LeMat-Bulk, functional GGA-PBEsol.

Results
Its total magnetization is 3.32 μB/f.u. For the calculated density, the calculation gives 7.0 g/cm3. As for the crystal system: tetragonal. As for the formation energy from raw total energies: 0.860 eV per atom. The total energy is -4.112 eV/atom.

a b c (Å): 3.933 5.926 5.926
angles (deg): 90.00 90.00 90.00
Last column: magnetic moment on the atom in μB.
Sites, in units of the cell vectors:
I1 0.000 0.500 0.000  -0.03
Ta1 0.500 0.500 0.500  2.07
O1 0.500 0.000 0.000  0.00
I2 0.000 0.000 0.500  -0.03
Te1 0.000 0.000 0.000  0.01

***

A geometry-optimized Ca3LaRh structure. Source: Alexandria via LeMat-Bulk, functional GGA-PBEsol.

Results
The formation energy from the elements comes out at 1.49 eV per atom. Its total magnetization is 0.62 μB/f.u. For the calculated density, the calculation gives 3.8 g/cm3. As for the crystal system: cubic. The total energy is -2.484 eV/atom.

a b c (Å): 5.391 5.391 5.391
angles (deg): 90.00 90.00 90.00
Last column: magnetic moment on the atom in μB.
Sites, in units of the cell vectors:
Ca1 0.000 0.500 0.000  0.02
Ca2 0.500 0.000 0.000  0.02
Ca3 0.000 0.000 0.500  0.02
Rh1 0.500 0.500 0.500  0.39
La1 0.000 0.000 0.000  0.13

***

A geometry-optimized LaZrTa2 structure. Source: Alexandria via LeMat-Bulk, functional GGA-PBEsol.

Results
The formation energy from the elements comes out at 0.43 eV per atom. Its total magnetization is 0.00 μB/f.u. As for the polymorph energy (0 for the lowest one): 2.82 kJ/mol of atoms. For the calculated density, the calculation gives 11.9 g/cm3. As for the crystal system: orthorhombic. The total energy is -9.450 eV/atom.

a b c (Å): 3.407 4.859 5.793
angles (deg): 114.80 107.10 90.00
Sites, in units of the cell vectors:
Zr1 0.500 0.000 0.000
Ta1 0.249 0.249 0.498
La1 0.000 0.500 0.000
Ta2 0.751 0.751 0.502

***

- What is the calculated density in the eighth record?
  11.9 g/cm3